Entry from Alexandria: a relaxed VFe2TcPb crystal (PBE-GGA).

The structure in POSCAR format:
```
VFe2TcPb
1.0
4.6856 0.0000 0.0000
0.0000 4.6856 0.0000
0.0000 0.0000 4.9302
V Fe Tc Pb
1 2 1 1
Direct
0.0000 0.0000 0.0000 V
0.0000 0.5000 0.5000 Fe
0.5000 0.0000 0.5000 Fe
0.5000 0.5000 0.0000 Tc
0.0000 0.0000 0.5000 Pb
```

- DOS at the Fermi energy: 15.58 states/eV/f.u.
- Calculated total energy: -5.689 eV/atom